1.
DFT (PBE) results for a relaxed structure of Rb2PrNdTe4.

## Properties
Crystal system: monoclinic

abc: 4.6667 8.0808 8.9883
angles: 107.42 90.00 90.00
Sites, in units of the cell vectors:
Pr: 0.5000 0.5000 0.0000
Te: 0.0000 0.2633 0.7939
Te: 0.0000 0.7367 0.2061
Te: 0.5000 0.7665 0.7946
Te: 0.5000 0.2335 0.2054
Rb: 0.5000 0.0000 0.5000
Rb: 0.0000 0.5000 0.5000
Nd: 0.0000 0.0000 0.0000

2.
DFT (PBE) results for a relaxed structure of Rb3PrNd2Te6.

## Properties
Crystal system: monoclinic

abc: 8.0721 8.0721 8.9889
angles: 98.62 98.62 119.99
Sites, in units of the cell vectors:
Nd: 0.6667 0.3333 0.0000
Nd: 0.3333 0.6667 0.0000
Rb: 0.5000 0.5000 0.5000
Rb: 0.1664 0.8336 0.5000
Rb: 0.8336 0.1664 0.5000
Te: 0.9315 0.5965 0.7945
Te: 0.7336 0.7336 0.2055
Te: 0.2664 0.2664 0.7945
Te: 0.4035 0.0685 0.2055
Te: 0.5965 0.9315 0.7945
Te: 0.0685 0.4035 0.2055
Pr: 0.0000 0.0000 0.0000

| no. | ΔE_f (raw) (kJ/mol of atoms) |
| --- | --- |
| 1 | -136.1 |
| 2 | -136.0 |